(1)
The following is a DFT calculation (PBE-GGA) of a geometry-optimized Ba2Li3Cd4In structure.

SG: P-4m2
calculated density: 5.05 g/cm3
VASP energy: -1.85 eV per atom

```
Ba2Li3Cd4In
1.0
5.067 0.000 0.000
0.000 5.067 0.000
0.000 0.000 11.007
Ba Li Cd In
2 3 4 1
Direct
0.000 0.500 0.250
0.500 0.000 0.750
0.000 0.000 0.000
0.000 0.500 0.609
0.500 0.000 0.391
0.000 0.000 0.500
0.000 0.500 0.863
0.500 0.000 0.137
0.500 0.500 0.500
0.500 0.500 0.000
```



(2)
The following is a DFT calculation (PBE-GGA) of a geometry-optimized K2RbGe2 structure.

SG: I4/mmm
calculated density: 2.46 g/cm3
energy relative to the lowest polymorph listed for this composition: 0.466 eV per atom
VASP energy: -2.06 eV per atom

```
K2RbGe2
1.0
-2.888 2.888 6.260
2.888 -2.888 6.260
2.888 2.888 -6.260
K Rb Ge
2 1 2
Direct
0.134 0.134 0.000
0.866 0.866 0.000
0.500 0.500 0.000
0.250 0.750 0.500
0.750 0.250 0.500
```



(3)
The following is a DFT calculation (PBE-GGA) of a geometry-optimized La3In2Rh3 structure.

SG: P6_3/mcm
calculated density: 8.45 g/cm3
VASP energy: -5.96 eV per atom

```
La3In2Rh3
1.0
8.385 0.000 0.000
-4.192 7.262 0.000
0.000 0.000 6.165
La In Rh
6 4 6
Direct
0.000 0.271 0.250
0.000 0.729 0.750
0.271 0.000 0.250
0.271 0.271 0.750
0.729 0.000 0.750
0.729 0.729 0.250
0.333 0.667 0.000
0.333 0.667 0.500
0.667 0.333 0.000
0.667 0.333 0.500
0.000 0.398 0.750
0.000 0.602 0.250
0.398 0.000 0.750
0.398 0.398 0.250
0.602 0.000 0.250
0.602 0.602 0.750
```



(4)
The following is a DFT calculation (PBE-GGA) of a geometry-optimized SrAc4Pu structure.

SG: F-43m
calculated density: 7.24 g/cm3
VASP energy: -5.00 eV per atom

```
SrAc4Pu
1.0
0.000 5.218 5.218
5.218 0.000 5.218
5.218 5.218 0.000
Sr Ac Pu
1 4 1
Direct
0.000 0.000 0.000
0.376 0.376 0.376
0.376 0.376 0.873
0.376 0.873 0.376
0.873 0.376 0.376
0.750 0.750 0.750
```



(5)
The following is a DFT calculation (PBE-GGA) of a geometry-optimized BaSr3Se structure.

SG: Pm-3m
calculated density: 3.23 g/cm3
raw formation energy: -0.664 eV/atom
energy relative to the lowest polymorph listed for this composition: 0.000 eV per atom
VASP energy: -2.75 eV per atom

```
BaSr3Se
1.0
6.269 0.000 0.000
0.000 6.269 0.000
0.000 0.000 6.269
Ba Sr Se
1 3 1
Direct
0.000 0.000 0.000
0.000 0.500 0.500
0.500 0.000 0.500
0.500 0.500 0.000
0.500 0.500 0.500
```



(6)
The following is a DFT calculation (PBE-GGA) of a geometry-optimized Tb12InSi5 structure.

SG: Immm
calculated density: 7.62 g/cm3
raw formation energy: -0.553 eV/atom
VASP energy: -5.30 eV per atom

```
Tb12InSi5
1.0
-4.761 4.795 5.159
4.761 -4.795 5.159
4.761 4.795 -5.159
Tb In Si
12 1 5
Direct
0.035 0.233 0.803
0.181 0.271 0.452
0.181 0.729 0.910
0.320 0.023 0.703
0.320 0.617 0.297
0.430 0.233 0.197
0.570 0.767 0.803
0.680 0.383 0.703
0.680 0.977 0.297
0.819 0.271 0.090
0.819 0.729 0.548
0.965 0.767 0.197
0.500 0.500 0.000
0.000 0.000 0.000
0.115 0.615 0.500
0.373 0.000 0.373
0.627 0.000 0.627
0.885 0.385 0.500
```



(7)
The following is a DFT calculation (PBE-GGA) of a geometry-optimized SrCd5Br12 structure.

SG: C2/m
calculated density: 4.34 g/cm3
raw formation energy: -1.057 eV/atom
VASP energy: -2.52 eV per atom

```
SrCd5Br12
1.0
3.578 -6.204 0.000
3.578 6.204 0.000
-0.025 0.000 13.868
Sr Cd Br
1 5 12
Direct
0.000 0.000 0.000
0.166 0.834 0.500
0.333 0.667 0.000
0.500 0.500 0.500
0.667 0.333 0.000
0.834 0.166 0.500
0.000 0.360 0.118
0.000 0.640 0.882
0.166 0.166 0.389
0.167 0.500 0.611
0.359 0.359 0.882
0.360 0.000 0.118
0.500 0.167 0.611
0.500 0.833 0.389
0.640 0.000 0.882
0.641 0.641 0.118
0.833 0.500 0.389
0.834 0.834 0.611
```



(8)
The following is a DFT calculation (PBE-GGA) of a geometry-optimized BaNi3 structure.

SG: Pm-3m
calculated density: 3.85 g/cm3
VASP energy: -2.49 eV per atom

```
BaNi3
1.0
5.131 0.000 0.000
0.000 5.131 0.000
0.000 0.000 5.131
Ba Ni
1 3
Direct
0.000 0.000 0.000
0.000 0.000 0.500
0.000 0.500 0.000
0.500 0.000 0.000
```



(9)
The following is a DFT calculation (PBE-GGA) of a geometry-optimized K2FeTe structure.

SG: C2/m
calculated density: 2.87 g/cm3
raw formation energy: 0.375 eV/atom
VASP energy: -3.08 eV per atom

```
K2FeTe
1.0
4.888 -1.713 0.000
4.888 1.713 0.000
-1.042 0.000 9.026
K Fe Te
2 1 1
Direct
0.247 0.247 0.232
0.753 0.753 0.768
0.000 0.000 0.500
0.500 0.500 0.000
```



(10)
The following is a DFT calculation (PBE-GGA) of a geometry-optimized AlZn2Hg structure.

SG: F-43m
calculated density: 8.01 g/cm3
energy relative to the lowest polymorph listed for this composition: 0.076 eV per atom
VASP energy: -1.46 eV per atom

```
AlZn2Hg
1.0
0.000 3.337 3.337
3.337 0.000 3.337
3.337 3.337 0.000
Al Zn Hg
1 2 1
Direct
0.000 0.000 0.000
0.500 0.500 0.500
0.750 0.750 0.750
0.250 0.250 0.250
```



(11)
The following is a DFT calculation (PBE-GGA) of a geometry-optimized DyMgAlSe4 structure.

SG: Imma
calculated density: 4.95 g/cm3
raw formation energy: -1.277 eV/atom
VASP energy: -4.69 eV per atom

```
DyMgAlSe4
1.0
-3.965 3.979 5.628
3.965 -3.979 5.628
3.965 3.979 -5.628
Dy Mg Al Se
2 2 2 8
Direct
0.500 0.000 0.000
0.500 0.500 0.500
0.000 0.000 0.000
0.500 0.000 0.500
0.131 0.381 0.750
0.869 0.619 0.250
0.242 0.248 0.994
0.246 0.752 0.494
0.247 0.237 0.490
0.247 0.757 0.010
0.753 0.243 0.990
0.753 0.763 0.510
0.754 0.248 0.506
0.758 0.752 0.006
```



(12)
The following is a DFT calculation (PBE-GGA) of a geometry-optimized In2FeRh structure.

SG: P2/m
calculated density: 9.21 g/cm3
VASP energy: -5.22 eV per atom

```
In2FeRh
1.0
4.671 0.000 0.000
0.000 3.039 0.000
-2.122 0.000 4.932
In Fe Rh
2 1 1
Direct
0.000 0.000 0.000
0.000 0.500 0.500
0.500 0.000 0.500
0.500 0.500 0.000
```



(13)
The following is a DFT calculation (PBE-GGA) of a geometry-optimized HoHfTlCd structure.

SG: F-43m
calculated density: 11.50 g/cm3
VASP energy: -4.50 eV per atom

```
HoHfTlCd
1.0
0.000 3.625 3.625
3.625 0.000 3.625
3.625 3.625 0.000
Ho Hf Tl Cd
1 1 1 1
Direct
0.000 0.000 0.000
0.500 0.500 0.500
0.750 0.750 0.750
0.250 0.250 0.250
```



(14)
The following is a DFT calculation (PBE-GGA) of a geometry-optimized CuMoBr2 structure.

SG: C2/m
calculated density: 6.45 g/cm3
raw formation energy: 0.693 eV/atom
energy relative to the lowest polymorph listed for this composition: 0.510 eV per atom
VASP energy: -3.88 eV per atom

```
CuMoBr2
1.0
3.204 -4.103 0.000
3.204 4.103 0.000
-0.016 0.000 3.127
Cu Mo Br
1 1 2
Direct
0.000 0.000 0.000
0.500 0.500 0.000
0.000 0.500 0.000
0.500 0.000 0.000
```



(15)
The following is a DFT calculation (PBE-GGA) of a geometry-optimized TaSb3As structure.

SG: Pm-3m
calculated density: 7.36 g/cm3
raw formation energy: 1.282 eV/atom
energy relative to the lowest polymorph listed for this composition: 0.602 eV per atom
VASP energy: -4.49 eV per atom

```
TaSb3As
1.0
5.194 0.000 0.000
0.000 5.194 0.000
0.000 0.000 5.194
Ta Sb As
1 3 1
Direct
0.000 0.000 0.000
0.000 0.500 0.500
0.500 0.000 0.500
0.500 0.500 0.000
0.500 0.500 0.500
```



(16)
The following is a DFT calculation (PBE-GGA) of a geometry-optimized ZnGa15 structure.

SG: P-6m2
calculated density: 6.01 g/cm3
VASP energy: -2.87 eV per atom

```
ZnGa15
1.0
6.491 0.000 0.000
-3.245 5.621 0.000
0.000 0.000 8.410
Zn Ga
1 15
Direct
0.000 0.000 0.000
0.000 0.000 0.500
0.020 0.510 0.000
0.327 0.164 0.241
0.327 0.164 0.759
0.333 0.667 0.269
0.333 0.667 0.731
0.490 0.510 0.000
0.490 0.980 0.000
0.512 0.024 0.500
0.512 0.488 0.500
0.836 0.164 0.241
0.836 0.164 0.759
0.836 0.673 0.241
0.836 0.673 0.759
0.976 0.488 0.500
```



(17)
The following is a DFT calculation (PBE-GGA) of a geometry-optimized CaNbSCl2 structure.

SG: P4/mmm
calculated density: 2.80 g/cm3
raw formation energy: -0.345 eV/atom
energy relative to the lowest polymorph listed for this composition: 0.589 eV per atom
VASP energy: -4.32 eV per atom

```
CaNbSCl2
1.0
5.012 0.000 0.000
0.000 5.012 0.000
0.000 0.000 5.563
Ca Nb S Cl
1 1 1 2
Direct
0.000 0.000 0.000
0.500 0.500 0.500
0.000 0.000 0.500
0.000 0.500 0.000
0.500 0.000 0.000
```



(18)
The following is a DFT calculation (PBE-GGA) of a geometry-optimized Ba2UGeSe6 structure.

SG: P2_1/c
calculated density: 5.81 g/cm3
raw formation energy: -1.278 eV/atom
VASP energy: -5.34 eV per atom

```
Ba2UGeSe6
1.0
7.369 0.000 0.000
0.000 7.719 0.000
-7.298 0.000 10.639
Ba U Ge Se
4 2 2 12
Direct
0.227 0.071 0.248
0.227 0.429 0.748
0.773 0.571 0.252
0.773 0.929 0.752
0.500 0.000 0.000
0.500 0.500 0.500
0.000 0.000 0.500
0.000 0.500 0.000
0.162 0.197 0.959
0.162 0.303 0.459
0.265 0.706 0.959
0.265 0.794 0.459
0.334 0.010 0.753
0.334 0.490 0.253
0.666 0.510 0.747
0.666 0.990 0.247
0.735 0.206 0.541
0.735 0.294 0.041
0.838 0.697 0.541
0.838 0.803 0.041
```



(19)
The following is a DFT calculation (PBE-GGA) of a geometry-optimized Rb5Na3 structure.

SG: P4/ncc
calculated density: 1.47 g/cm3
VASP energy: -1.07 eV per atom

```
Rb5Na3
1.0
10.600 0.000 0.000
0.000 10.600 0.000
0.000 0.000 19.937
Rb Na
20 12
Direct
0.080 0.585 0.100
0.080 0.915 0.600
0.085 0.580 0.400
0.085 0.920 0.900
0.250 0.250 0.247
0.250 0.250 0.747
0.415 0.580 0.900
0.415 0.920 0.400
0.420 0.585 0.600
0.420 0.915 0.100
0.580 0.085 0.900
0.580 0.415 0.400
0.585 0.080 0.600
0.585 0.420 0.100
0.750 0.750 0.253
0.750 0.750 0.753
0.915 0.080 0.100
0.915 0.420 0.600
0.920 0.085 0.400
0.920 0.415 0.900
0.129 0.629 0.750
0.129 0.871 0.250
0.250 0.250 0.004
0.250 0.250 0.504
0.371 0.629 0.250
0.371 0.871 0.750
0.629 0.129 0.250
0.629 0.371 0.750
0.750 0.750 0.496
0.750 0.750 0.996
0.871 0.129 0.750
0.871 0.371 0.250
```



(20)
The following is a DFT calculation (PBE-GGA) of a geometry-optimized Li2TmTl4 structure.

SG: I4/mmm
calculated density: 9.10 g/cm3
VASP energy: -2.70 eV per atom

```
Li2TmTl4
1.0
-3.557 3.557 3.605
3.557 -3.557 3.605
3.557 3.557 -3.605
Li Tm Tl
2 1 4
Direct
0.000 0.500 0.500
0.500 0.000 0.500
0.000 0.000 0.000
0.000 0.000 0.500
0.000 0.500 0.000
0.500 0.000 0.000
0.500 0.500 0.500
```



(21)
The following is a DFT calculation (PBE-GGA) of a geometry-optimized Ac2PuSn4Rh3 structure.

SG: P-4m2
calculated density: 9.75 g/cm3
VASP energy: -6.63 eV per atom

```
Ac2PuSn4Rh3
1.0
4.521 0.000 0.000
0.000 4.521 0.000
0.000 0.000 12.346
Ac Pu Sn Rh
2 1 4 3
Direct
0.000 0.500 0.228
0.500 0.000 0.772
0.000 0.000 0.500
0.000 0.000 0.000
0.000 0.500 0.665
0.500 0.000 0.335
0.500 0.500 0.000
0.000 0.500 0.880
0.500 0.000 0.120
0.500 0.500 0.500
```



(22)
The following is a DFT calculation (PBE-GGA) of a geometry-optimized Mn4MoIr structure.

SG: F-43m
calculated density: 11.54 g/cm3
VASP energy: -9.47 eV per atom

```
Mn4MoIr
1.0
0.000 3.318 3.318
3.318 0.000 3.318
3.318 3.318 0.000
Mn Mo Ir
4 1 1
Direct
0.377 0.377 0.377
0.377 0.377 0.869
0.377 0.869 0.377
0.869 0.377 0.377
0.000 0.000 0.000
0.750 0.750 0.750
```